{"formula": "CaTb6Ho3", "functional": "PBE", "state": "optimized geometry", "dos_ef_per_ev_cell": 33.976, "formation_energy_ev_per_atom": 0.08, "dft_energy_ev_per_atom": -4.27, "lattice": [[11.9407, 0.0000, 0.0000], [0.0000, 3.5384, 0.0000], [-3.9191, 0.0000, 15.4953]], "species": ["Ca", "Ca", "Tb", "Tb", "Tb", "Tb", "Tb", "Tb", "Tb", "Tb", "Tb", "Tb", "Tb", "Tb", "Ho", "Ho", "Ho", "Ho", "Ho", "Ho"], "fractional_positions": [[0.1325, 0.2500, 0.0619], [0.8675, 0.7500, 0.9381], [0.1113, 0.2500, 0.4590], [0.1167, 0.7500, 0.8506], [0.1536, 0.7500, 0.2739], [0.3361, 0.7500, 0.6148], [0.3622, 0.2500, 0.8213], [0.3818, 0.7500, 0.0196], [0.6182, 0.2500, 0.9804], [0.6378, 0.7500, 0.1787], [0.6639, 0.2500, 0.3852], [0.8464, 0.2500, 0.7261], [0.8833, 0.2500, 0.1494], [0.8887, 0.7500, 0.5410], [0.1135, 0.2500, 0.6693], [0.3833, 0.2500, 0.4312], [0.3975, 0.2500, 0.2186], [0.6025, 0.7500, 0.7814], [0.6167, 0.7500, 0.5688], [0.8865, 0.7500, 0.3307]]}